Record 1
First-principles (PBE-GGA) data for a relaxed Mg3CdGa crystal, as listed in Alexandria.

total magnetization	0.00	μB/atom
symmetry	Pm-3m
E above lowest polymorph	203	meV/atom

Cell: 5.089 5.089 5.089 Å, 90.00 90.00 90.00°
Positions (direct):
Mg 0.000 0.000 0.500
Mg 0.000 0.500 0.000
Mg 0.500 0.000 0.000
Cd 0.500 0.500 0.500
Ga 0.000 0.000 0.000



Record 2
First-principles (PBE-GGA) data for a relaxed Mg6CdGa12 crystal, as listed in Alexandria.

total magnetization	0.00	μB/atom
symmetry	R-3
DFT total energy	-2.508	eV/atom

Cell: 7.501 7.501 7.501 Å, 102.80 102.80 102.80°
Positions (direct):
Mg 0.206 0.686 0.327
Mg 0.314 0.673 0.794
Mg 0.327 0.206 0.686
Mg 0.673 0.794 0.314
Mg 0.686 0.327 0.206
Mg 0.794 0.314 0.673
Cd 0.500 0.500 0.500
Ga 0.010 0.715 0.947
Ga 0.053 0.990 0.285
Ga 0.068 0.350 0.450
Ga 0.285 0.053 0.990
Ga 0.350 0.450 0.068
Ga 0.450 0.068 0.350
Ga 0.550 0.932 0.650
Ga 0.650 0.550 0.932
Ga 0.715 0.947 0.010
Ga 0.932 0.650 0.550
Ga 0.947 0.010 0.715
Ga 0.990 0.285 0.053



Which value of total magnetization does entry 2 give?
0.00 μB/atom



total magnetization of number 1 (Mg3CdGa)?
0.00 μB/atom